DFT (PBE with a Hubbard U) results for crystalline Li6V2OF11 at its relaxed geometry.

a b c (Å): 5.5106 5.5255 8.5248
angles (deg): 86.84 78.02 61.38
With the nearest neighbours (Å) after each atom.
Sites, in units of the cell vectors:
Li (0.0000, 0.0000, 0.0000)  5 F 1.93-2.14
Li (0.0250, 0.3433, 0.5056)  5 F 1.96-2.09
Li (0.1716, 0.3061, 0.1398)  4 F 1.88-2.02
Li (0.2755, 0.7332, 0.6747)  5 F 1.93-2.11
Li (0.5976, 0.6255, 0.2022)  4 F 1.89-2.08
Li (0.8046, 0.5678, 0.8345)  3 F 1.86-2.03
V (0.5345, 0.1548, 0.7512)  5 F 1.92-2.00, 1 O 2.03
V (0.9348, 0.9229, 0.3624)  1 O 1.70
O (0.7053, 0.9415, 0.5349)  1 V 1.70
F (0.1628, 0.5205, 0.3273)  1 V 1.96, 2 Li 1.98-2.02
F (0.1890, 0.4125, 0.6702)  3 Li 1.96-2.08, 1 V 1.99
F (0.2007, 0.9333, 0.4822)  2 Li 1.93-1.99, 1 V 1.98
F (0.2326, 0.9184, 0.1714)  3 Li 1.95-2.03, 1 V 2.05
F (0.3777, 0.9049, 0.8289)  1 V 1.97, 3 Li 1.98-2.20
F (0.3912, 0.3577, 0.9544)  1 Li 1.88, 1 V 1.92
F (0.6873, 0.4127, 0.6751)  3 Li 1.99-2.11, 1 V 2.00
F (0.7555, 0.9013, 0.1960)  1 V 1.93, 2 Li 2.08-2.14
F (0.7947, 0.3211, 0.3454)  1 V 1.96, 2 Li 2.02-2.09
F (0.8648, 0.3910, 0.0256)  4 Li 1.86-1.97
F (0.8841, 0.8920, 0.8283)  3 Li 1.94-2.07, 1 V 2.00

Computed properties:
**Total energy**: -5.43 eV per atom
**Theoretical density**: 2.7 Mg/m³
**Symmetry**: P1 (1)